## GeRhI3 (PBE-GGA)

Data for a relaxed GeRhI3 crystal. Values from VASP.

```
&SYSTEM
  ibrav = 0, nat = 5, ntyp = 3
/
ATOMIC_SPECIES
Ge 72.64 Ge.upf
Rh 102.91 Rh.upf
I 126.90 I.upf
CELL_PARAMETERS angstrom
5.731 0.000 0.000
0.000 5.731 0.000
0.000 0.000 5.731
ATOMIC_POSITIONS crystal
Ge 0.000 0.000 0.000
Rh 0.500 0.500 0.500
I 0.000 0.000 0.500
I 0.000 0.500 0.000
I 0.500 0.000 0.000
```

uncorrected formation energy	0.7230	eV/atom
distance to the lowest polymorph of the same formula	2.02	eV/f.u.
density of states at the Fermi level	2.02	states/eV per atom
total DFT energy (no corrections)	-13.004	eV/f.u.
size of the total moment	0.389	μB/atom
space-group type	No. 221



## Ge3RhI (PBE-GGA)

Data for a relaxed Ge3RhI crystal. Values from VASP.

```
&SYSTEM
  ibrav = 0, nat = 5, ntyp = 3
/
ATOMIC_SPECIES
Ge 72.64 Ge.upf
Rh 102.91 Rh.upf
I 126.90 I.upf
CELL_PARAMETERS angstrom
4.895 0.000 0.000
0.000 4.895 0.000
0.000 0.000 4.895
ATOMIC_POSITIONS crystal
Ge 0.000 0.000 0.500
Ge 0.000 0.500 0.000
Ge 0.500 0.000 0.000
Rh 0.000 0.000 0.000
I 0.500 0.500 0.500
```

uncorrected formation energy	0.0918	eV/atom
distance to the lowest polymorph of the same formula	0.00	eV/f.u.
density of states at the Fermi level	0.74	states/eV per atom
total DFT energy (no corrections)	-22.294	eV/f.u.
size of the total moment	0.000	μB/atom
space-group type	No. 221



## Ge2RhSI (PBE-GGA)

Data for a relaxed Ge2RhSI crystal. Values from VASP.

```
&SYSTEM
  ibrav = 0, nat = 5, ntyp = 4
/
ATOMIC_SPECIES
Ge 72.64 Ge.upf
Rh 102.91 Rh.upf
S 32.06 S.upf
I 126.90 I.upf
CELL_PARAMETERS angstrom
5.072 0.000 0.000
0.000 5.072 0.000
0.000 0.000 4.514
ATOMIC_POSITIONS crystal
Ge 0.000 0.500 0.000
Ge 0.500 0.000 0.000
Rh 0.000 0.000 0.000
S 0.000 0.000 0.500
I 0.500 0.500 0.500
```

uncorrected formation energy	0.1324	eV/atom
density of states at the Fermi level	0.92	states/eV per atom
total DFT energy (no corrections)	-21.602	eV/f.u.
size of the total moment	0.000	μB/atom
space-group type	No. 123



## Sm6GeRh2I3 (PBE-GGA)

Data for a relaxed Sm6GeRh2I3 crystal. Values from VASP.

```
&SYSTEM
  ibrav = 0, nat = 12, ntyp = 4
/
ATOMIC_SPECIES
Sm 150.36 Sm.upf
Ge 72.64 Ge.upf
Rh 102.91 Rh.upf
I 126.90 I.upf
CELL_PARAMETERS angstrom
3.655 -6.333 0.000
3.655 6.333 0.000
-2.440 0.000 7.914
ATOMIC_POSITIONS crystal
Sm 0.091 0.438 0.811
Sm 0.215 0.215 0.188
Sm 0.438 0.091 0.811
Sm 0.562 0.909 0.189
Sm 0.785 0.785 0.812
Sm 0.909 0.562 0.189
Ge 0.500 0.500 0.000
Rh 0.167 0.833 0.000
Rh 0.833 0.167 0.000
I 0.000 0.000 0.500
I 0.338 0.662 0.500
I 0.662 0.338 0.500
```

uncorrected formation energy	-0.9114	eV/atom
density of states at the Fermi level	0.68	states/eV per atom
total DFT energy (no corrections)	-63.222	eV/f.u.
size of the total moment	0.000	μB/atom
space-group type	No. 12



## Sr2GeRhI (PBE-GGA)

Data for a relaxed Sr2GeRhI crystal. Values from VASP.

```
&SYSTEM
  ibrav = 0, nat = 5, ntyp = 4
/
ATOMIC_SPECIES
Sr 87.62 Sr.upf
Ge 72.64 Ge.upf
Rh 102.91 Rh.upf
I 126.90 I.upf
CELL_PARAMETERS angstrom
5.959 0.000 0.000
0.000 5.959 0.000
0.000 0.000 4.657
ATOMIC_POSITIONS crystal
Sr 0.000 0.500 0.000
Sr 0.500 0.000 0.000
Ge 0.000 0.000 0.500
Rh 0.000 0.000 0.000
I 0.500 0.500 0.500
```

uncorrected formation energy	-0.7719	eV/atom
density of states at the Fermi level	0.51	states/eV per atom
total DFT energy (no corrections)	-20.742	eV/f.u.
size of the total moment	0.000	μB/atom
space-group type	No. 123



## Zr2GeRhI (PBE-GGA)

Data for a relaxed Zr2GeRhI crystal. Values from VASP.

```
&SYSTEM
  ibrav = 0, nat = 5, ntyp = 4
/
ATOMIC_SPECIES
Zr 91.22 Zr.upf
Ge 72.64 Ge.upf
Rh 102.91 Rh.upf
I 126.90 I.upf
CELL_PARAMETERS angstrom
5.059 0.000 0.000
0.000 5.059 0.000
0.000 0.000 5.228
ATOMIC_POSITIONS crystal
Zr 0.000 0.500 0.000
Zr 0.500 0.000 0.000
Ge 0.000 0.000 0.000
Rh 0.500 0.500 0.500
I 0.000 0.000 0.500
```

uncorrected formation energy	1.0084	eV/atom
density of states at the Fermi level	1.50	states/eV per atom
total DFT energy (no corrections)	-25.573	eV/f.u.
size of the total moment	0.000	μB/atom
space-group type	No. 123



## GeRuI3 (PBE-GGA)

Data for a relaxed GeRuI3 crystal. Values from VASP.

```
&SYSTEM
  ibrav = 0, nat = 5, ntyp = 3
/
ATOMIC_SPECIES
Ge 72.64 Ge.upf
Ru 101.07 Ru.upf
I 126.90 I.upf
CELL_PARAMETERS angstrom
5.360 0.000 0.000
0.000 5.360 0.000
0.000 0.000 5.360
ATOMIC_POSITIONS crystal
Ge 0.000 0.000 0.000
Ru 0.500 0.500 0.500
I 0.000 0.500 0.500
I 0.500 0.000 0.500
I 0.500 0.500 0.000
```

uncorrected formation energy	0.5532	eV/atom
distance to the lowest polymorph of the same formula	0.00	eV/f.u.
density of states at the Fermi level	0.86	states/eV per atom
total DFT energy (no corrections)	-15.778	eV/f.u.
size of the total moment	0.000	μB/atom
space-group type	No. 221



## Ge2RuI (PBE-GGA)

Data for a relaxed Ge2RuI crystal. Values from VASP.

```
&SYSTEM
  ibrav = 0, nat = 8, ntyp = 3
/
ATOMIC_SPECIES
Ge 72.64 Ge.upf
Ru 101.07 Ru.upf
I 126.90 I.upf
CELL_PARAMETERS angstrom
-3.105 3.105 6.105
3.105 -3.105 6.105
3.105 3.105 -6.105
ATOMIC_POSITIONS crystal
Ge 0.014 0.625 0.889
Ge 0.375 0.264 0.389
Ge 0.736 0.125 0.111
Ge 0.875 0.986 0.611
Ru 0.000 0.000 0.000
Ru 0.750 0.250 0.500
I 0.250 0.750 0.500
I 0.500 0.500 0.000
```

uncorrected formation energy	0.3223	eV/atom
distance to the lowest polymorph of the same formula	0.00	eV/f.u.
density of states at the Fermi level	0.56	states/eV per atom
total DFT energy (no corrections)	-18.771	eV/f.u.
size of the total moment	0.000	μB/atom
space-group type	No. 122



## GeRuI (PBE-GGA)

Data for a relaxed GeRuI crystal. Values from VASP.

```
&SYSTEM
  ibrav = 0, nat = 6, ntyp = 3
/
ATOMIC_SPECIES
Ge 72.64 Ge.upf
Ru 101.07 Ru.upf
I 126.90 I.upf
CELL_PARAMETERS angstrom
5.787 0.000 0.000
0.000 6.359 1.964
0.000 -6.359 1.964
ATOMIC_POSITIONS crystal
Ge 0.250 0.043 0.957
Ge 0.750 0.957 0.043
Ru 0.000 0.499 0.499
Ru 0.500 0.499 0.499
I 0.250 0.328 0.688
I 0.750 0.688 0.328
```

uncorrected formation energy	-0.0061	eV/atom
distance to the lowest polymorph of the same formula	0.23	eV/f.u.
density of states at the Fermi level	0.34	states/eV per atom
total DFT energy (no corrections)	-15.462	eV/f.u.
size of the total moment	0.000	μB/atom
space-group type	No. 40



## Ge2RuI (PBE-GGA)

Data for a relaxed Ge2RuI crystal. Values from VASP.

```
&SYSTEM
  ibrav = 0, nat = 4, ntyp = 3
/
ATOMIC_SPECIES
Ge 72.64 Ge.upf
Ru 101.07 Ru.upf
I 126.90 I.upf
CELL_PARAMETERS angstrom
0.000 3.446 3.446
3.446 0.000 3.446
3.446 3.446 0.000
ATOMIC_POSITIONS crystal
Ge 0.250 0.250 0.250
Ge 0.750 0.750 0.750
Ru 0.000 0.000 0.000
I 0.500 0.500 0.500
```

uncorrected formation energy	0.9370	eV/atom
distance to the lowest polymorph of the same formula	2.46	eV/f.u.
density of states at the Fermi level	0.57	states/eV per atom
total DFT energy (no corrections)	-16.313	eV/f.u.
size of the total moment	0.266	μB/atom
space-group type	No. 225



## GeRuI3 (PBE-GGA)

Data for a relaxed GeRuI3 crystal. Values from VASP.

```
&SYSTEM
  ibrav = 0, nat = 5, ntyp = 3
/
ATOMIC_SPECIES
Ge 72.64 Ge.upf
Ru 101.07 Ru.upf
I 126.90 I.upf
CELL_PARAMETERS angstrom
5.756 0.000 0.000
0.000 5.756 0.000
0.000 0.000 5.756
ATOMIC_POSITIONS crystal
Ge 0.000 0.000 0.000
Ru 0.500 0.500 0.500
I 0.000 0.000 0.500
I 0.000 0.500 0.000
I 0.500 0.000 0.000
```

uncorrected formation energy	0.8940	eV/atom
distance to the lowest polymorph of the same formula	1.70	eV/f.u.
density of states at the Fermi level	0.95	states/eV per atom
total DFT energy (no corrections)	-14.074	eV/f.u.
size of the total moment	0.602	μB/atom
space-group type	No. 221



## GeRuI (PBE-GGA)

Data for a relaxed GeRuI crystal. Values from VASP.

```
&SYSTEM
  ibrav = 0, nat = 6, ntyp = 3
/
ATOMIC_SPECIES
Ge 72.64 Ge.upf
Ru 101.07 Ru.upf
I 126.90 I.upf
CELL_PARAMETERS angstrom
3.068 0.000 0.000
0.000 4.099 0.000
-1.525 0.000 11.179
ATOMIC_POSITIONS crystal
Ge 0.047 0.250 0.095
Ge 0.953 0.750 0.905
Ru 0.451 0.250 0.901
Ru 0.549 0.750 0.099
I 0.329 0.250 0.656
I 0.671 0.750 0.344
```

uncorrected formation energy	-0.0825	eV/atom
distance to the lowest polymorph of the same formula	0.00	eV/f.u.
density of states at the Fermi level	0.44	states/eV per atom
total DFT energy (no corrections)	-15.691	eV/f.u.
size of the total moment	0.000	μB/atom
space-group type	No. 11